# 1
Crystalline LaDy3Sc at its relaxed geometry. Source: Alexandria via LeMat-Bulk, functional GGA-PBE.

abc: 6.218 9.521 8.385
angles: 136.83 68.19 109.17
Element x y z (fractional)
Dy 0.209 0.344 0.242
Dy 0.586 0.249 0.751
Dy 0.178 0.446 0.749
Dy 0.791 0.656 0.758
Dy 0.822 0.554 0.251
Dy 0.414 0.751 0.249
La 0.622 0.152 0.249
La 0.378 0.848 0.751
Sc 0.989 0.052 0.739
Sc 0.011 0.948 0.261

Properties
Its space group is P-1. As for the formation energy from the elements: 37.1 meV per atom. The distance to the lowest polymorph of the same formula comes out at 0.000 eV/atom. The magnetic moment comes out at 0.00 Bohr magnetons per cell.

# 2
Crystalline GaPd8Pt3 at its relaxed geometry. Source: Alexandria via LeMat-Bulk, functional GGA-PBE.

abc: 8.063 8.063 8.063
angles: 58.17 139.79 139.79
Element x y z (fractional)
Pd 0.495 0.125 0.125
Pd 0.000 0.125 0.630
Pd 0.505 0.630 0.630
Pd 0.000 0.875 0.370
Pd 0.000 0.370 0.875
Pd 0.505 0.875 0.875
Pd 0.000 0.630 0.125
Pd 0.495 0.370 0.370
Ga 0.000 0.000 0.000
Pt 0.000 0.500 0.500
Pt 0.500 0.750 0.250
Pt 0.500 0.250 0.750

Properties
Its space group is I4/mmm. As for the formation energy from the elements: 156.0 meV per atom. The magnetic moment comes out at 0.00 Bohr magnetons per cell.

# 3
Crystalline Be2IrRu at its relaxed geometry. Source: Alexandria via LeMat-Bulk, functional GGA-PBE.

abc: 4.075 4.075 4.075
angles: 60.00 60.00 60.00
Element x y z (fractional)
Be 0.000 0.000 0.000
Be 0.250 0.250 0.250
Ir 0.500 0.500 0.500
Ru 0.750 0.750 0.750

Properties
Its space group is F-43m. As for the formation energy from the elements: 12.2 meV per atom. The magnetic moment comes out at 0.00 Bohr magnetons per cell.

# 4
Crystalline Fe2HgP at its relaxed geometry. Source: Alexandria via LeMat-Bulk, functional GGA-PBE.

abc: 3.239 2.806 6.553
angles: 72.93 90.00 90.00
Last column: magnetic moment on the atom in μB.
Element x y z (fractional)
P 0.500 0.750 0.750  -0.07
Fe 0.000 0.954 0.930  1.63
Fe 0.000 0.546 0.570  1.63
Hg 0.500 0.250 0.250  -0.03

Properties
Its space group is P2/m. As for the formation energy from the elements: 160.5 meV per atom. The distance to the lowest polymorph of the same formula comes out at 0.121 eV/atom. The magnetic moment comes out at 3.10 Bohr magnetons per cell.

# 5
Crystalline SnSb2SeO at its relaxed geometry. Source: Alexandria via LeMat-Bulk, functional GGA-PBE.

abc: 5.742 3.945 5.742
angles: 90.00 90.00 90.00
Element x y z (fractional)
Se 0.500 0.500 0.500
Sn 0.000 0.000 0.000
O 0.000 0.500 0.000
Sb 0.000 0.000 0.500
Sb 0.500 0.000 0.000

Properties
Its space group is P4/mmm. The formation energy from raw total energies is 0.14 eV/atom. The magnetic moment comes out at 0.00 Bohr magnetons per cell.

# 6
Crystalline InIrS2 at its relaxed geometry. Source: Alexandria via LeMat-Bulk, functional GGA-PBE.

abc: 7.820 7.820 7.820
angles: 26.84 26.84 26.84
Last column: magnetic moment on the atom in μB.
Element x y z (fractional)
S 0.099 0.099 0.099  0.00
S 0.901 0.901 0.901  0.00
In 0.500 0.500 0.500  0.00
Ir 0.000 0.000 0.000  0.17

Properties
Its space group is R-3m. The formation energy from raw total energies is 0.23 eV/atom. The magnetic moment comes out at 0.17 Bohr magnetons per cell.